[1]
BaFeRu2: optimized geometry, PBE.

extended XYZ file:
```
8
Lattice="-2.5180 2.5180 7.7906 2.5180 -2.5180 7.7906 2.5180 2.5180 -7.7906" Properties=species:S:1:pos:R:3 pbc="T T T"
Ba 2.5180 1.2590 1.9476
Ba 0.0000 1.2590 5.8429
Fe 2.5180 -1.2590 5.8429
Fe 0.0000 3.7770 1.9476
Ru 0.0000 0.0000 0.0000
Ru 1.2590 1.2590 -3.8953
Ru 1.2590 -1.2590 3.8953
Ru 0.0000 2.5180 0.0000
```

Results
- Calculated formation energy: 0.87 eV/atom
- Energy above the lowest structure with this stoichiometry: 520 meV per atom



[2]
Ba2FeRu: optimized geometry, PBE.

extended XYZ file:
```
4
Lattice="1.9034 1.0989 9.4675 -1.9034 1.0989 9.4675 0.0000 -2.1979 9.4675" Properties=species:S:1:pos:R:3 pbc="T T T"
Ba 0.0000 0.0000 6.9204
Ba 0.0000 0.0000 21.4821
Fe 0.0000 0.0000 0.0000
Ru 0.0000 0.0000 14.2012
```

Results
- Calculated formation energy: 1.08 eV/atom
- Energy above the lowest structure with this stoichiometry: 809 meV per atom



[3]
Ba2FeRu: optimized geometry, PBE.

extended XYZ file:
```
4
Lattice="3.6735 -2.1204 0.0000 3.6735 2.1204 0.0000 -2.3584 0.0000 8.9160" Properties=species:S:1:pos:R:3 pbc="T T T"
Ba 0.0000 0.0000 0.0000
Ba 0.0008 0.0000 4.5471
Fe 4.8985 0.0000 2.2772
Ru 2.4491 0.0000 2.2716
```

Results
- Calculated formation energy: 0.27 eV/atom
- Energy above the lowest structure with this stoichiometry: 0 meV per atom



[4]
BaFeRu2: optimized geometry, PBE.

extended XYZ file:
```
4
Lattice="3.0932 0.0000 0.0000 0.0000 3.0932 0.0000 0.0000 0.0000 7.8856" Properties=species:S:1:pos:R:3 pbc="T T T"
Ba 0.0000 0.0000 0.0000
Fe 0.0000 0.0000 3.9428
Ru 1.5466 1.5466 2.6219
Ru 1.5466 1.5466 5.2637
```

Results
- Calculated formation energy: 0.65 eV/atom
- Energy above the lowest structure with this stoichiometry: 293 meV per atom



[5]
Ba2FeRu: optimized geometry, PBE.

extended XYZ file:
```
8
Lattice="-5.6959 5.6959 2.2816 5.6959 -5.6959 2.2816 5.6959 5.6959 -2.2816" Properties=species:S:1:pos:R:3 pbc="T T T"
Ba 0.9200 2.8479 0.5704
Ba -2.8479 4.7759 1.7112
Ba -0.9200 8.5438 0.5704
Ba 2.8479 6.6159 1.7112
Fe 5.6959 0.0000 1.1408
Fe 0.0000 0.0000 2.2816
Ru 0.0000 0.0000 0.0000
Ru 0.0000 5.6959 1.1408
```

Results
- Calculated formation energy: 0.65 eV/atom
- Energy above the lowest structure with this stoichiometry: 381 meV per atom



[6]
BaFeRu2: optimized geometry, PBE.

extended XYZ file:
```
4
Lattice="0.0000 3.3395 3.3395 3.3395 0.0000 3.3395 3.3395 3.3395 0.0000" Properties=species:S:1:pos:R:3 pbc="T T T"
Ba 0.0000 0.0000 0.0000
Fe 1.6698 1.6698 1.6698
Ru 3.3395 3.3395 3.3395
Ru 5.0093 5.0093 5.0093
```

Results
- Calculated formation energy: 1.09 eV/atom
- Energy above the lowest structure with this stoichiometry: 735 meV per atom



[7]
Ba2FeRu: optimized geometry, PBE.

extended XYZ file:
```
4
Lattice="3.7296 0.0000 0.0000 0.0000 3.7755 0.0000 0.0000 0.0000 8.1261" Properties=species:S:1:pos:R:3 pbc="T T T"
Ba 0.0000 0.0000 1.8841
Ba 0.0000 0.0000 6.2420
Fe 1.8648 1.8878 4.0631
Ru 1.8648 1.8878 0.0000
```

Results
- Calculated formation energy: 0.91 eV/atom
- Energy above the lowest structure with this stoichiometry: 638 meV per atom



[8]
BaFeRu2: optimized geometry, PBE.

extended XYZ file:
```
4
Lattice="0.0000 3.2873 3.2873 3.2873 0.0000 3.2873 3.2873 3.2873 0.0000" Properties=species:S:1:pos:R:3 pbc="T T T"
Ba 0.0000 0.0000 0.0000
Fe 3.2873 3.2873 3.2873
Ru 1.6436 1.6436 1.6436
Ru 4.9309 4.9309 4.9309
```

Results
- Calculated formation energy: 1.36 eV/atom
- Energy above the lowest structure with this stoichiometry: 1002 meV per atom



[9]
BaFeRu2: optimized geometry, PBE.

extended XYZ file:
```
4
Lattice="3.1343 0.0000 0.0000 0.0000 4.7528 0.0000 0.0000 0.0000 4.9931" Properties=species:S:1:pos:R:3 pbc="T T T"
Ba 0.0000 0.0000 0.0000
Fe 1.5672 0.0000 2.4965
Ru 0.0000 2.3764 2.4965
Ru 1.5672 2.3764 0.0000
```

Results
- Calculated formation energy: 1.14 eV/atom
- Energy above the lowest structure with this stoichiometry: 786 meV per atom



[10]
Ba2FeRu: optimized geometry, PBE.

extended XYZ file:
```
4
Lattice="0.0000 3.7546 3.7546 3.7546 0.0000 3.7546 3.7546 3.7546 0.0000" Properties=species:S:1:pos:R:3 pbc="T T T"
Ba 1.8773 1.8773 1.8773
Ba 5.6319 5.6319 5.6319
Fe 0.0000 0.0000 0.0000
Ru 3.7546 3.7546 3.7546
```

Results
- Calculated formation energy: 1.20 eV/atom
- Energy above the lowest structure with this stoichiometry: 932 meV per atom



[11]
Ba2FeRu2: optimized geometry, PBE.

extended XYZ file:
```
10
Lattice="9.3531 0.0000 0.0000 0.0000 9.3531 0.0000 0.0000 0.0000 3.1681" Properties=species:S:1:pos:R:3 pbc="T T T"
Ba 1.8695 2.8071 0.0000
Ba 2.8071 7.4836 0.0000
Ba 6.5460 1.8695 0.0000
Ba 7.4836 6.5460 0.0000
Fe 0.0000 0.0000 0.0000
Fe 4.6766 4.6766 0.0000
Ru 0.7960 5.4726 1.5841
Ru 3.8805 0.7960 1.5841
Ru 5.4726 8.5571 1.5841
Ru 8.5571 3.8805 1.5841
```

Results
- Calculated formation energy: 1.26 eV/atom
- Energy above the lowest structure with this stoichiometry: 478 meV per atom



[12]
Ba2FeRu: optimized geometry, PBE.

extended XYZ file:
```
4
Lattice="5.5355 0.0000 0.0000 0.0000 5.5355 0.0000 0.0000 0.0000 3.7145" Properties=species:S:1:pos:R:3 pbc="T T T"
Ba 0.0000 2.7678 0.0000
Ba 2.7678 0.0000 0.0000
Fe 0.0000 0.0000 1.8572
Ru 2.7678 2.7678 1.8572
```

Results
- Calculated formation energy: 0.94 eV/atom
- Energy above the lowest structure with this stoichiometry: 670 meV per atom



[13]
BaFe3Ru: optimized geometry, PBE.

extended XYZ file:
```
5
Lattice="4.8110 0.0000 0.0000 0.0000 4.8110 0.0000 0.0000 0.0000 4.8110" Properties=species:S:1:pos:R:3 pbc="T T T"
Ba 0.0000 0.0000 0.0000
Fe 0.0000 2.4055 2.4055
Fe 2.4055 0.0000 2.4055
Fe 2.4055 2.4055 0.0000
Ru 2.4055 2.4055 2.4055
```

Results
- Calculated formation energy: 0.87 eV/atom
- Energy above the lowest structure with this stoichiometry: 0 meV per atom



[14]
BaFeRu2: optimized geometry, PBE.

extended XYZ file:
```
4
Lattice="4.7509 0.0000 0.0000 0.0000 4.7509 0.0000 0.0000 0.0000 3.3573" Properties=species:S:1:pos:R:3 pbc="T T T"
Ba 0.0000 0.0000 0.0000
Fe 2.3755 2.3755 0.0000
Ru 0.0000 2.3755 1.6787
Ru 2.3755 0.0000 1.6787
```

Results
- Calculated formation energy: 1.15 eV/atom
- Energy above the lowest structure with this stoichiometry: 801 meV per atom



[15]
Ba2FeRu: optimized geometry, PBE.

extended XYZ file:
```
4
Lattice="0.0000 3.7391 3.7391 3.7391 0.0000 3.7391 3.7391 3.7391 0.0000" Properties=species:S:1:pos:R:3 pbc="T T T"
Ba 0.0000 0.0000 0.0000
Ba 1.8696 1.8696 1.8696
Fe 5.6087 5.6087 5.6087
Ru 3.7391 3.7391 3.7391
```

Results
- Calculated formation energy: 0.93 eV/atom
- Energy above the lowest structure with this stoichiometry: 663 meV per atom



[16]
Ba2FeRu: optimized geometry, PBE.

extended XYZ file:
```
4
Lattice="3.5641 0.0000 0.0000 0.0000 3.5641 0.0000 0.0000 0.0000 9.4271" Properties=species:S:1:pos:R:3 pbc="T T T"
Ba 0.0000 0.0000 0.0000
Ba 1.7820 1.7820 4.0349
Fe 0.0000 0.0000 6.4301
Ru 1.7820 1.7820 6.9878
```

Results
- Calculated formation energy: 0.49 eV/atom
- Energy above the lowest structure with this stoichiometry: 217 meV per atom



[17]
BaFeRu2: optimized geometry, PBE.

extended XYZ file:
```
4
Lattice="3.7085 -2.1414 0.0000 3.7085 2.1414 0.0000 -2.4815 0.0000 5.8665" Properties=species:S:1:pos:R:3 pbc="T T T"
Ba 0.0000 0.0000 0.0000
Fe 2.4677 0.0000 2.9333
Ru -0.0050 0.0000 3.2948
Ru 4.9405 0.0000 2.5717
```

Results
- Calculated formation energy: 0.35 eV/atom
- Energy above the lowest structure with this stoichiometry: 0 meV per atom



[18]
BaFeRu2: optimized geometry, PBE.

extended XYZ file:
```
4
Lattice="2.9758 0.0000 0.0000 0.0000 3.5891 0.0000 0.0000 0.0000 7.5391" Properties=species:S:1:pos:R:3 pbc="T T T"
Ba 0.0000 0.0000 0.0000
Fe 1.4879 1.7946 2.5715
Ru 0.0000 0.0000 3.7994
Ru 1.4879 1.7946 4.9891
```

Results
- Calculated formation energy: 0.61 eV/atom
- Energy above the lowest structure with this stoichiometry: 257 meV per atom



[19]
BaFeRu2: optimized geometry, PBE.

extended XYZ file:
```
4
Lattice="-1.5331 2.6718 4.9253 1.5331 -2.6718 4.9253 1.5331 2.6718 -4.9253" Properties=species:S:1:pos:R:3 pbc="T T T"
Ba 0.0000 0.0000 0.0000
Fe 1.5331 0.0000 2.9248
Ru 0.0000 0.0000 4.8607
Ru 0.0000 2.6718 2.0319
```

Results
- Calculated formation energy: 0.98 eV/atom
- Energy above the lowest structure with this stoichiometry: 630 meV per atom



[20]
BaFeRu2: optimized geometry, PBE.

extended XYZ file:
```
4
Lattice="2.1532 1.2431 5.8635 -2.1532 1.2431 5.8635 0.0000 -2.4863 5.8635" Properties=species:S:1:pos:R:3 pbc="T T T"
Ba 0.0000 0.0000 0.0000
Fe 0.0000 0.0000 3.3507
Ru 0.0000 0.0000 8.6021
Ru 0.0000 0.0000 14.3346
```

Results
- Calculated formation energy: 0.35 eV/atom
- Energy above the lowest structure with this stoichiometry: 1 meV per atom



[21]
Ba2FeRuS: optimized geometry, PBE.

extended XYZ file:
```
5
Lattice="6.1158 0.0000 0.0000 0.0000 6.1158 0.0000 0.0000 0.0000 4.3091" Properties=species:S:1:pos:R:3 pbc="T T T"
Ba 0.0000 3.0579 0.0000
Ba 3.0579 0.0000 0.0000
Fe 0.0000 0.0000 2.1546
Ru 3.0579 3.0579 2.1546
S 3.0579 3.0579 0.0000
```

Results
- Raw formation energy: 52 kJ/mol of formula units



[22]
BaFeRu2Se: optimized geometry, PBE.

extended XYZ file:
```
5
Lattice="4.7529 0.0000 0.0000 0.0000 4.7529 0.0000 0.0000 0.0000 4.6193" Properties=species:S:1:pos:R:3 pbc="T T T"
Ba 0.0000 0.0000 0.0000
Fe 2.3764 2.3764 0.0000
Ru 0.0000 2.3764 2.3097
Ru 2.3764 0.0000 2.3097
Se 2.3764 2.3764 2.3097
```

Results
- Raw formation energy: 275 kJ/mol of formula units



[23]
BaSrFe2Ru: optimized geometry, PBE.

extended XYZ file:
```
5
Lattice="4.7113 0.0000 0.0000 0.0000 4.7113 0.0000 0.0000 0.0000 5.3994" Properties=species:S:1:pos:R:3 pbc="T T T"
Ba 0.0000 0.0000 0.0000
Sr 2.3557 2.3557 0.0000
Fe 0.0000 2.3557 2.6997
Fe 2.3557 0.0000 2.6997
Ru 2.3557 2.3557 2.6997
```

Results
- Calculated formation energy: 1.02 eV/atom



[24]
BaTa2FeRu: optimized geometry, PBE.

extended XYZ file:
```
5
Lattice="4.7109 0.0000 0.0000 0.0000 4.7109 0.0000 0.0000 0.0000 4.7906" Properties=species:S:1:pos:R:3 pbc="T T T"
Ba 0.0000 0.0000 0.0000
Ta 0.0000 2.3554 2.3953
Ta 2.3554 0.0000 2.3953
Fe 2.3554 2.3554 2.3953
Ru 2.3554 2.3554 0.0000
```

Results
- Calculated formation energy: 0.97 eV/atom



[25]
BaTiFe2Ru: optimized geometry, PBE.

extended XYZ file:
```
5
Lattice="4.5164 0.0000 0.0000 0.0000 4.5164 0.0000 0.0000 0.0000 5.3282" Properties=species:S:1:pos:R:3 pbc="T T T"
Ba 0.0000 0.0000 0.0000
Ti 2.2582 2.2582 0.0000
Fe 0.0000 2.2582 2.6641
Fe 2.2582 0.0000 2.6641
Ru 0.0000 0.0000 2.6641
```

Results
- Calculated formation energy: 1.64 eV/atom



[26]
Ba6Fe8S15: optimized geometry, PBE.

extended XYZ file:
```
29
Lattice="-5.7104 5.7104 5.0584 5.7104 -5.7104 5.0584 5.7104 5.7104 -5.0584" Properties=species:S:1:pos:R:3 pbc="T T T"
Ba 0.0000 0.0000 1.9980
Ba 4.1860 2.8419 0.0000
Ba 2.8684 -1.5244 5.0584
Ba 2.8419 7.2347 0.0000
Ba 1.5244 2.8684 5.0584
Ba 0.0000 0.0000 8.1188
Fe 4.0411 -0.6616 1.3510
Fe 7.3797 0.6616 1.3510
Fe 6.3720 -1.6693 3.7074
Fe 0.6616 4.0411 1.3510
Fe 5.0488 1.6693 3.7074
Fe -0.6616 7.3797 1.3510
Fe -1.6693 5.0488 3.7074
Fe 1.6693 6.3720 3.7074
S 5.7104 0.0000 0.0000
S 4.8097 -2.5508 2.3249
S 9.0705 1.0970 0.0000
S 8.2611 -0.9006 2.7335
S 1.0970 2.3502 0.0000
S 3.1596 0.9006 2.7335
S 6.6110 2.5508 2.3249
S 0.0000 5.7104 0.0000
S 0.0000 0.0000 5.0584
S -0.9006 3.1596 2.7335
S 2.5508 4.8097 2.3249
S 4.6134 3.3602 5.0584
S -2.5508 6.6110 2.3249
S -3.3602 4.6134 5.0584
S 0.9006 8.2611 2.7335
```

Results
- Raw formation energy: -2946 kJ/mol of formula units



[27]
BaFeS2: optimized geometry, PBE.

extended XYZ file:
```
8
Lattice="-3.4958 3.4958 3.6215 3.4958 -3.4958 3.6215 3.4958 3.4958 -3.6215" Properties=species:S:1:pos:R:3 pbc="T T T"
Ba 0.0000 0.0000 0.0000
Ba 0.0000 3.4958 1.8108
Fe 3.4958 0.0000 1.8108
Fe 0.0000 0.0000 3.6215
S 1.7479 -0.8937 2.7162
S 2.6021 1.7479 0.9054
S 1.7479 4.3895 -0.9054
S 0.8937 1.7479 4.5269
```

Results
- Raw formation energy: -399 kJ/mol of formula units



[28]
BaFeS2: optimized geometry, PBE.

extended XYZ file:
```
4
Lattice="2.3489 1.3561 7.4278 -2.3489 1.3561 7.4278 0.0000 -2.7123 7.4278" Properties=species:S:1:pos:R:3 pbc="T T T"
Ba 0.0000 0.0000 0.0000
Fe 0.0000 0.0000 11.1416
S 0.0000 0.0000 9.0029
S 0.0000 0.0000 13.2804
```

Results
- Raw formation energy: -305 kJ/mol of formula units



Number 1: total energy -6.361 eV/atom. Number 2: total energy -4.316 eV/atom. Number 3: total energy -5.125 eV/atom. Number 4: total energy -6.587 eV/atom. Number 5: total energy -4.745 eV/atom. Number 6: total energy -6.146 eV/atom. Number 7: total energy -4.487 eV/atom. Number 8: total energy -5.879 eV/atom. Number 9: total energy -6.094 eV/atom. Number 10: total energy -4.193 eV/atom. Number 11: total energy -4.908 eV/atom. Number 12: total energy -4.455 eV/atom. Number 13: total energy -6.451 eV/atom. Number 14: total energy -6.079 eV/atom. Number 15: total energy -4.462 eV/atom. Number 16: total energy -4.908 eV/atom. Number 17: total energy -6.881 eV/atom. Number 18: total energy -6.624 eV/atom. Number 19: total energy -6.251 eV/atom. Number 20: total energy -6.880 eV/atom. Number 21: total energy -5.034 eV/atom. Number 22: total energy -5.915 eV/atom. Number 23: total energy -4.937 eV/atom. Number 24: total energy -7.702 eV/atom. Number 25: total energy -5.566 eV/atom. Number 26: total energy -5.920 eV/atom. Number 27: total energy -5.693 eV/atom. Number 28: total energy -5.449 eV/atom.